Here is a relaxed CaBi5Pb2 crystal from Alexandria via LeMat-Bulk. Energies are from PBE-GGA.

Properties
**Magnetic moment**: 0.00 μB/cell
**ΔH_f (0 K)**: -1.26 eV/f.u.
**SG**: I4/mmm
**Density of states at the Fermi level**: 4.23 states/eV/cell
**Total DFT energy (no corrections)**: -0.276 Ry/atom

a b c (Å): 6.9731 6.9731 6.9726
angles (deg): 104.39 104.39 120.20
Atoms (fractional coordinates):
Ca: 0.7782 0.7780 0.0000
Bi: 0.2780 0.2781 0.5003
Bi: 0.2782 0.7777 0.0000
Bi: 0.7779 0.2780 0.0000
Bi: 0.7777 0.7779 0.4997
Bi: 0.2778 0.2775 0.0000
Pb: 0.2776 0.7779 0.5000
Pb: 0.7776 0.2779 0.5000

=====

Here is a relaxed Ca2Bi3Pb crystal from Alexandria via LeMat-Bulk. Energies are from PBE-GGA.

Properties
**Magnetic moment**: 0.00 μB/cell
**ΔH_f (0 K)**: -2.85 eV/f.u.
**SG**: Pnnm
**Density of states at the Fermi level**: 4.95 states/eV/cell
**Total DFT energy (no corrections)**: -0.272 Ry/atom

a b c (Å): 4.6995 7.0501 11.7752
angles (deg): 90.00 90.00 90.00
Atoms (fractional coordinates):
Ca: 0.5000 0.7485 0.1636
Ca: 0.0000 0.7515 0.6636
Ca: 0.0000 0.2485 0.3364
Ca: 0.5000 0.2515 0.8364
Bi: 0.0000 0.0000 0.0000
Bi: 0.5000 0.5000 0.5000
Bi: 0.5000 0.2448 0.1377
Bi: 0.5000 0.7552 0.8623
Bi: 0.0000 0.2552 0.6377
Bi: 0.0000 0.7448 0.3623
Pb: 0.0000 0.5000 0.0000
Pb: 0.5000 0.0000 0.5000

=====

Here is a relaxed Ca2Bi4Pb crystal from Alexandria via LeMat-Bulk. Energies are from PBE-GGA.

Properties
**Magnetic moment**: 0.00 μB/cell
**ΔH_f (0 K)**: -1.64 eV/f.u.
**SG**: Fmmm
**Density of states at the Fermi level**: 5.32 states/eV/cell
**Total DFT energy (no corrections)**: -0.261 Ry/atom

a b c (Å): 7.5668 7.5668 6.9589
angles (deg): 123.03 122.99 89.89
Atoms (fractional coordinates):
Ca: 0.7500 0.2500 0.5000
Ca: 0.2500 0.7500 0.5000
Bi: 0.7111 0.2891 0.0002
Bi: 0.2889 0.7110 0.9999
Bi: 0.2891 0.2891 0.0000
Bi: 0.7109 0.7109 0.0000
Pb: 0.9999 0.9999 0.9997

=====

Here is a relaxed CaBi2Pb3 crystal from Alexandria via LeMat-Bulk. Energies are from PBE-GGA.

Properties
**Magnetic moment**: 0.00 μB/cell
**ΔH_f (0 K)**: -1.08 eV/f.u.
**SG**: C2/m
**Density of states at the Fermi level**: 5.55 states/eV/cell
**Total DFT energy (no corrections)**: -0.269 Ry/atom

a b c (Å): 5.5555 8.9658 8.7424
angles (deg): 99.56 108.53 90.00
Atoms (fractional coordinates):
Ca: 0.1633 0.2744 0.3267
Ca: 0.8367 0.7256 0.6733
Bi: 0.4649 0.7907 0.9299
Bi: 0.5351 0.2093 0.0701
Bi: 0.2031 0.6503 0.4062
Bi: 0.7969 0.3497 0.5938
Pb: 0.6917 0.0099 0.3834
Pb: 0.0752 0.8826 0.1504
Pb: 0.3938 0.4321 0.7875
Pb: 0.6062 0.5679 0.2125
Pb: 0.9248 0.1174 0.8496
Pb: 0.3083 0.9901 0.6166

=====

Here is a relaxed Ca2Bi3Pb crystal from Alexandria via LeMat-Bulk. Energies are from PBE-GGA.

Properties
**Magnetic moment**: 0.00 μB/cell
**ΔH_f (0 K)**: -2.27 eV/f.u.
**SG**: Immm
**Density of states at the Fermi level**: 4.69 states/eV/cell
**Total DFT energy (no corrections)**: -0.265 Ry/atom

a b c (Å): 3.6301 6.5929 9.2411
angles (deg): 110.90 101.33 90.00
Atoms (fractional coordinates):
Ca: 0.6658 0.1658 0.3315
Ca: 0.3342 0.8342 0.6685
Bi: 0.3321 0.3321 0.6641
Bi: 0.0000 0.0000 0.0000
Bi: 0.6679 0.6679 0.3359
Pb: 0.0000 0.5000 0.0000

=====

Here is a relaxed CaBi2Pb crystal from Alexandria via LeMat-Bulk. Energies are from PBE-GGA.

Properties
**Magnetic moment**: 0.00 μB/cell
**ΔH_f (0 K)**: 0.27 eV/f.u.
**SG**: R-3m
**Density of states at the Fermi level**: 2.39 states/eV/cell
**Total DFT energy (no corrections)**: -0.243 Ry/atom

a b c (Å): 3.5549 3.5549 12.6886
angles (deg): 81.95 81.95 60.00
Atoms (fractional coordinates):
Pb: 0.5000 0.5000 0.5000
Ca: 0.0000 0.0000 0.0000
Bi: 0.0869 0.0869 0.7392
Bi: 0.9131 0.9131 0.2608

=====

Here is a relaxed Ca3BiPb2 crystal from Alexandria via LeMat-Bulk. Energies are from PBE-GGA.

Properties
**Magnetic moment**: 0.00 μB/cell
**ΔH_f (0 K)**: -3.47 eV/f.u.
**SG**: P4/mmm
**Density of states at the Fermi level**: 2.68 states/eV/cell
**Total DFT energy (no corrections)**: -0.254 Ry/atom

a b c (Å): 4.0428 4.0428 11.4019
angles (deg): 90.00 90.00 90.00
Atoms (fractional coordinates):
Ca: 0.0000 0.0000 0.0000
Ca: 0.0000 0.0000 0.6650
Ca: 0.0000 0.0000 0.3350
Bi: 0.5000 0.5000 0.5000
Pb: 0.5000 0.5000 0.8391
Pb: 0.5000 0.5000 0.1609

=====

Here is a relaxed Ca6BiPb3 crystal from Alexandria via LeMat-Bulk. Energies are from PBE-GGA.

Properties
**Magnetic moment**: 0.00 μB/cell
**ΔH_f (0 K)**: -5.58 eV/f.u.
**SG**: Pnnm
**Density of states at the Fermi level**: 8.61 states/eV/cell
**Total DFT energy (no corrections)**: -0.240 Ry/atom

a b c (Å): 5.4185 9.4136 12.8667
angles (deg): 90.00 90.00 90.00
Atoms (fractional coordinates):
Ca: 0.5000 0.1695 0.9033
Ca: 0.5000 0.1699 0.5926
Ca: 0.5000 0.4916 0.2501
Ca: 0.5000 0.5084 0.7499
Ca: 0.5000 0.8301 0.4074
Ca: 0.5000 0.8305 0.0967
Ca: 0.0000 0.3305 0.4033
Ca: 0.0000 0.3301 0.0926
Ca: 0.0000 0.0084 0.7501
Ca: 0.0000 0.9916 0.2499
Ca: 0.0000 0.6699 0.9074
Ca: 0.0000 0.6695 0.5967
Bi: 0.5000 0.5000 0.5000
Bi: 0.0000 0.0000 0.0000
Pb: 0.5000 0.8431 0.7355
Pb: 0.5000 0.5000 0.0000
Pb: 0.5000 0.1569 0.2645
Pb: 0.0000 0.6569 0.2355
Pb: 0.0000 0.0000 0.5000
Pb: 0.0000 0.3431 0.7645